Model 1:
Compound: MgBeSb
Source: the Alexandria database
Functional: GGA-PBE
Structure: optimized geometry

Geometry as POSCAR:
```
MgBeSb
1.0
3.8671 0.0000 0.0096
0.0000 4.5260 0.0000
-1.7666 0.0000 14.1993
Mg Be Sb
4 4 4
Direct
0.2860 0.0000 0.7334
0.4506 0.0000 0.4456
0.2860 0.5000 0.2334
0.4506 0.5000 0.9456
0.0111 0.7517 0.5551
0.0111 0.2483 0.5551
0.0111 0.7483 0.0551
0.0111 0.2517 0.0551
0.9019 0.0000 0.8920
0.9019 0.5000 0.3920
0.5528 0.0000 0.1424
0.5528 0.5000 0.6424
```

Output
As for the crystal system: monoclinic.

Model 2:
Compound: MgBeSb
Source: the Alexandria database
Functional: GGA-PBE
Structure: optimized geometry

Geometry as POSCAR:
```
MgBeSb
1.0
-2.5716 -0.4271 -3.2186
0.1453 -2.9178 2.9361
-5.9098 3.9321 4.2000
Be Mg Sb
2 2 2
Direct
0.3333 0.6667 0.6613
0.3333 0.6667 0.9663
0.3333 0.6667 0.3060
0.0000 0.0000 0.7761
0.0000 0.0000 0.1007
0.6667 0.3333 0.5424
```

Output
As for the crystal system: trigonal.

Model 3:
Compound: MgBeSb
Source: the Alexandria database
Functional: GGA-PBE
Structure: optimized geometry

Geometry as POSCAR:
```
MgBeSb
1.0
-5.7703 0.2647 -2.4862
-5.0060 -3.7512 -0.6456
4.5800 2.4853 3.5207
Be Mg Sb
1 1 1
Direct
0.9979 0.9979 0.0000
0.3597 0.3597 0.0000
0.6425 0.6425 0.0000
```

Output
As for the crystal system: tetragonal.

We find model 2 to be the most stable, with the next structure 0.019 eV/atom higher.